VASP calculation (PBE) on an optimized crystal structure of CeMgTlRh. Values from VASP.

The structure in Quantum ESPRESSO input format:
```
&SYSTEM
  ibrav = 0, nat = 4, ntyp = 4
/
ATOMIC_SPECIES
Tl 204.38 Tl.upf
Rh 102.91 Rh.upf
Mg 24.30 Mg.upf
Ce 140.12 Ce.upf
CELL_PARAMETERS angstrom
-3.155 3.876 0.270
-1.874 1.397 4.426
1.483 4.293 2.103
ATOMIC_POSITIONS crystal
Tl 0.250 0.250 0.250
Rh 0.750 0.750 0.750
Mg 0.500 0.500 0.500
Ce 0.000 0.000 0.000
```

Summary:
- ΔE_f (meV per atom) = -280
- DOS at the Fermi energy (states/eV/cell) = 5.63
- symmetry = F-43m, No. 216